# PBE Zn2CdGa5, optimized geometry
data_Zn2CdGa5
_chemical_formula_sum 'Zn2 Cd1 Ga5'
_cell_length_a 4.066
_cell_length_b 6.592
_cell_length_c 6.592
_cell_angle_alpha 70.30
_cell_angle_beta 72.04
_cell_angle_gamma 72.04
_space_group_name_H-M_alt 'P 1'
_space_group_IT_number 1
loop_
_space_group_symop_operation_xyz
'x,y,z'
loop_
_atom_site_label
_atom_site_fract_x
_atom_site_fract_y
_atom_site_fract_z
_atom_site_occupancy
Zn1 0.729 0.771 0.771 1
Zn2 0.271 0.229 0.229 1
Cd1 0.000 0.000 0.000 1
Ga1 0.000 0.500 0.500 1
Ga2 0.639 0.550 0.173 1
Ga3 0.361 0.450 0.827 1
Ga4 0.361 0.827 0.450 1
Ga5 0.639 0.173 0.550 1
# - Energy relative to the elements: 0.05 eV/atom
# - N(E_F): 2.01 states/eV per cell
# - Raw total energy: -2.274 eV/atom

=====

# PBE La2SmIn2Hg2, optimized geometry
data_La2SmIn2Hg2
_chemical_formula_sum 'La2 Sm1 In2 Hg2'
_cell_length_a 4.919
_cell_length_b 4.919
_cell_length_c 9.761
_cell_angle_alpha 75.40
_cell_angle_beta 75.40
_cell_angle_gamma 60.00
_space_group_name_H-M_alt 'P 1'
_space_group_IT_number 1
loop_
_space_group_symop_operation_xyz
'x,y,z'
loop_
_atom_site_label
_atom_site_fract_x
_atom_site_fract_y
_atom_site_fract_z
_atom_site_occupancy
La1 0.137 0.137 0.589 1
La2 0.863 0.863 0.411 1
Sm1 0.000 0.000 0.000 1
In1 0.728 0.728 0.816 1
In2 0.272 0.272 0.184 1
Hg1 0.581 0.581 0.256 1
Hg2 0.419 0.419 0.744 1
# - Energy relative to the elements: -0.33 eV/atom
# - N(E_F): 4.15 states/eV per cell
# - Raw total energy: -3.283 eV/atom

=====

# PBE PmPr2Au3, optimized geometry
data_PmPr2Au3
_chemical_formula_sum 'Pm2 Pr4 Au6'
_cell_length_a 5.291
_cell_length_b 8.366
_cell_length_c 7.407
_cell_angle_alpha 90.00
_cell_angle_beta 90.00
_cell_angle_gamma 71.57
_space_group_name_H-M_alt 'P 1'
_space_group_IT_number 1
loop_
_space_group_symop_operation_xyz
'x,y,z'
loop_
_atom_site_label
_atom_site_fract_x
_atom_site_fract_y
_atom_site_fract_z
_atom_site_occupancy
Pm1 0.333 0.333 0.000 1
Pm2 0.667 0.667 0.000 1
Pr1 0.000 0.000 0.000 1
Pr2 0.000 0.000 0.500 1
Pr3 0.334 0.333 0.500 1
Pr4 0.666 0.667 0.500 1
Au1 0.831 0.338 0.757 1
Au2 0.500 0.000 0.247 1
Au3 0.169 0.662 0.243 1
Au4 0.831 0.338 0.243 1
Au5 0.169 0.662 0.757 1
Au6 0.500 0.000 0.753 1
# - Energy relative to the elements: -0.76 eV/atom
# - N(E_F): 10.05 states/eV per cell
# - Raw total energy: -4.781 eV/atom

=====

# PBE MgSe2Br, optimized geometry
data_MgSe2Br
_chemical_formula_sum 'Mg1 Se2 Br1'
_cell_length_a 13.923
_cell_length_b 13.923
_cell_length_c 13.923
_cell_angle_alpha 12.49
_cell_angle_beta 12.49
_cell_angle_gamma 12.49
_space_group_name_H-M_alt 'P 1'
_space_group_IT_number 1
loop_
_space_group_symop_operation_xyz
'x,y,z'
loop_
_atom_site_label
_atom_site_fract_x
_atom_site_fract_y
_atom_site_fract_z
_atom_site_occupancy
Mg1 0.000 0.000 0.000 1
Se1 0.936 0.936 0.936 1
Se2 0.064 0.064 0.064 1
Br1 0.500 0.500 0.500 1
# - N(E_F): 3.46 states/eV per cell
# - Raw total energy: -2.299 eV/atom

=====

# PBE CrTe2As, optimized geometry
data_CrTe2As
_chemical_formula_sum 'Cr1 Te2 As1'
_cell_length_a 4.104
_cell_length_b 5.076
_cell_length_c 5.072
_cell_angle_alpha 72.50
_cell_angle_beta 90.00
_cell_angle_gamma 90.00
_space_group_name_H-M_alt 'P 1'
_space_group_IT_number 1
loop_
_space_group_symop_operation_xyz
'x,y,z'
loop_
_atom_site_label
_atom_site_fract_x
_atom_site_fract_y
_atom_site_fract_z
_atom_site_occupancy
As1 0.500 0.250 0.250 1
Cr1 0.500 0.750 0.750 1
Te1 0.000 0.990 0.990 1
Te2 0.000 0.510 0.510 1
# - N(E_F): 1.86 states/eV per cell
# - Raw total energy: -4.930 eV/atom

=====

# PBE CsMgSb, optimized geometry
data_CsMgSb
_chemical_formula_sum 'Cs2 Mg2 Sb2'
_cell_length_a 8.838
_cell_length_b 5.989
_cell_length_c 8.831
_cell_angle_alpha 109.85
_cell_angle_beta 90.20
_cell_angle_gamma 109.82
_space_group_name_H-M_alt 'P 1'
_space_group_IT_number 1
loop_
_space_group_symop_operation_xyz
'x,y,z'
loop_
_atom_site_label
_atom_site_fract_x
_atom_site_fract_y
_atom_site_fract_z
_atom_site_occupancy
Cs1 0.306 0.659 0.007 1
Cs2 0.808 0.161 0.503 1
Sb1 0.987 0.909 0.823 1
Sb2 0.628 0.410 0.184 1
Mg1 0.809 0.659 0.004 1
Mg2 0.804 0.155 0.001 1
# - N(E_F): 0.00 states/eV per cell
# - Raw total energy: -2.386 eV/atom

=====

# PBE Ca2SiW, optimized geometry
data_Ca2SiW
_chemical_formula_sum 'Ca2 Si1 W1'
_cell_length_a 5.642
_cell_length_b 6.523
_cell_length_c 2.963
_cell_angle_alpha 63.15
_cell_angle_beta 89.92
_cell_angle_gamma 117.35
_space_group_name_H-M_alt 'P 1'
_space_group_IT_number 1
loop_
_space_group_symop_operation_xyz
'x,y,z'
loop_
_atom_site_label
_atom_site_fract_x
_atom_site_fract_y
_atom_site_fract_z
_atom_site_occupancy
Ca1 0.000 0.000 0.000 1
Ca2 0.000 0.500 0.500 1
Si1 0.500 0.500 0.000 1
W1 0.500 0.000 0.500 1
# - N(E_F): 3.96 states/eV per cell
# - Raw total energy: -5.006 eV/atom

=====

# PBE YSiTc2, optimized geometry
data_YSiTc2
_chemical_formula_sum 'Y1 Si1 Tc2'
_cell_length_a 5.462
_cell_length_b 5.462
_cell_length_c 4.438
_cell_angle_alpha 66.05
_cell_angle_beta 66.05
_cell_angle_gamma 33.81
_space_group_name_H-M_alt 'P 1'
_space_group_IT_number 1
loop_
_space_group_symop_operation_xyz
'x,y,z'
loop_
_atom_site_label
_atom_site_fract_x
_atom_site_fract_y
_atom_site_fract_z
_atom_site_occupancy
Si1 0.275 0.275 0.225 1
Tc1 0.995 0.995 0.005 1
Tc2 0.733 0.733 0.767 1
Y1 0.497 0.497 0.503 1
# - N(E_F): 4.45 states/eV per cell
# - Raw total energy: -8.227 eV/atom

=====

# PBE ZnCu2Br, optimized geometry
data_ZnCu2Br
_chemical_formula_sum 'Zn1 Cu2 Br1'
_cell_length_a 6.147
_cell_length_b 6.147
_cell_length_c 6.147
_cell_angle_alpha 37.17
_cell_angle_beta 37.17
_cell_angle_gamma 37.17
_space_group_name_H-M_alt 'P 1'
_space_group_IT_number 1
loop_
_space_group_symop_operation_xyz
'x,y,z'
loop_
_atom_site_label
_atom_site_fract_x
_atom_site_fract_y
_atom_site_fract_z
_atom_site_occupancy
Br1 0.735 0.735 0.735 1
Cu1 0.974 0.974 0.974 1
Cu2 0.252 0.252 0.252 1
Zn1 0.539 0.539 0.539 1
# - N(E_F): 1.34 states/eV per cell
# - Raw total energy: -2.646 eV/atom

=====

# PBE AlSnAsBr2, optimized geometry
data_AlSnAsBr2
_chemical_formula_sum 'Al1 Sn1 As1 Br2'
_cell_length_a 5.004
_cell_length_b 5.004
_cell_length_c 5.218
_cell_angle_alpha 90.00
_cell_angle_beta 90.00
_cell_angle_gamma 90.00
_space_group_name_H-M_alt 'P 1'
_space_group_IT_number 1
loop_
_space_group_symop_operation_xyz
'x,y,z'
loop_
_atom_site_label
_atom_site_fract_x
_atom_site_fract_y
_atom_site_fract_z
_atom_site_occupancy
As1 0.000 0.000 0.500 1
Sn1 0.500 0.500 0.500 1
Br1 0.000 0.500 0.000 1
Br2 0.500 0.000 0.000 1
Al1 0.000 0.000 0.000 1
# - N(E_F): 1.96 states/eV per cell
# - Raw total energy: -3.256 eV/atom

=====

# PBE ScReHg2, optimized geometry
data_ScReHg2
_chemical_formula_sum 'Sc1 Re1 Hg2'
_cell_length_a 9.563
_cell_length_b 9.563
_cell_length_c 9.563
_cell_angle_alpha 19.02
_cell_angle_beta 19.02
_cell_angle_gamma 19.02
_space_group_name_H-M_alt 'P 1'
_space_group_IT_number 1
loop_
_space_group_symop_operation_xyz
'x,y,z'
loop_
_atom_site_label
_atom_site_fract_x
_atom_site_fract_y
_atom_site_fract_z
_atom_site_occupancy
Hg1 0.003 0.003 0.003 1
Hg2 0.244 0.244 0.244 1
Re1 0.495 0.495 0.495 1
Sc1 0.757 0.757 0.757 1
# - Energy relative to the elements: 0.28 eV/atom
# - N(E_F): 3.46 states/eV per cell
# - Raw total energy: -4.562 eV/atom

=====

# PBE Sm2TmIr, optimized geometry
data_Sm2TmIr
_chemical_formula_sum 'Sm2 Tm1 Ir1'
_cell_length_a 3.760
_cell_length_b 3.760
_cell_length_c 10.794
_cell_angle_alpha 79.97
_cell_angle_beta 79.97
_cell_angle_gamma 60.00
_space_group_name_H-M_alt 'P 1'
_space_group_IT_number 1
loop_
_space_group_symop_operation_xyz
'x,y,z'
loop_
_atom_site_label
_atom_site_fract_x
_atom_site_fract_y
_atom_site_fract_z
_atom_site_occupancy
Ir1 0.500 0.500 0.500 1
Tm1 0.000 0.000 0.000 1
Sm1 0.111 0.111 0.666 1
Sm2 0.889 0.889 0.334 1
# - Energy relative to the elements: -0.04 eV/atom
# - N(E_F): 5.32 states/eV per cell
# - Raw total energy: -5.736 eV/atom

=====

# PBE MnSb2Rh, optimized geometry
data_MnSb2Rh
_chemical_formula_sum 'Mn1 Sb2 Rh1'
_cell_length_a 5.428
_cell_length_b 5.428
_cell_length_c 4.045
_cell_angle_alpha 89.98
_cell_angle_beta 89.98
_cell_angle_gamma 39.64
_space_group_name_H-M_alt 'P 1'
_space_group_IT_number 1
loop_
_space_group_symop_operation_xyz
'x,y,z'
loop_
_atom_site_label
_atom_site_fract_x
_atom_site_fract_y
_atom_site_fract_z
_atom_site_occupancy
Mn1 0.461 0.461 0.625 1
Rh1 0.291 0.291 0.125 1
Sb1 0.017 0.017 0.125 1
Sb2 0.732 0.732 0.625 1
# - N(E_F): 2.39 states/eV per cell
# - Raw total energy: -6.331 eV/atom

=====

# PBE YTh2Cd4, optimized geometry
data_YTh2Cd4
_chemical_formula_sum 'Y1 Th2 Cd4'
_cell_length_a 5.145
_cell_length_b 5.145
_cell_length_c 8.510
_cell_angle_alpha 107.60
_cell_angle_beta 107.60
_cell_angle_gamma 90.00
_space_group_name_H-M_alt 'P 1'
_space_group_IT_number 1
loop_
_space_group_symop_operation_xyz
'x,y,z'
loop_
_atom_site_label
_atom_site_fract_x
_atom_site_fract_y
_atom_site_fract_z
_atom_site_occupancy
Y1 0.000 0.000 0.000 1
Th1 0.745 0.745 0.489 1
Th2 0.255 0.255 0.511 1
Cd1 0.392 0.892 0.783 1
Cd2 0.892 0.392 0.783 1
Cd3 0.608 0.108 0.217 1
Cd4 0.108 0.608 0.217 1
# - Energy relative to the elements: -0.01 eV/atom
# - N(E_F): 7.81 states/eV per cell
# - Raw total energy: -3.578 eV/atom

=====

# PBE TbAl6Cu3, optimized geometry
data_TbAl6Cu3
_chemical_formula_sum 'Tb2 Al12 Cu6'
_cell_length_a 4.038
_cell_length_b 8.738
_cell_length_c 9.833
_cell_angle_alpha 97.02
_cell_angle_beta 90.00
_cell_angle_gamma 90.00
_space_group_name_H-M_alt 'P 1'
_space_group_IT_number 1
loop_
_space_group_symop_operation_xyz
'x,y,z'
loop_
_atom_site_label
_atom_site_fract_x
_atom_site_fract_y
_atom_site_fract_z
_atom_site_occupancy
Tb1 0.750 0.985 0.796 1
Tb2 0.250 0.015 0.204 1
Al1 0.750 0.412 0.576 1
Al2 0.250 0.588 0.424 1
Al3 0.750 0.799 0.052 1
Al4 0.250 0.201 0.948 1
Al5 0.750 0.496 0.093 1
Al6 0.250 0.504 0.907 1
Al7 0.750 0.788 0.322 1
Al8 0.250 0.212 0.678 1
Al9 0.750 0.099 0.459 1
Al10 0.250 0.901 0.541 1
Al11 0.750 0.640 0.786 1
Al12 0.250 0.360 0.214 1
Cu1 0.750 0.343 0.833 1
Cu2 0.250 0.657 0.167 1
Cu3 0.750 0.707 0.552 1
Cu4 0.250 0.293 0.448 1
Cu5 0.750 0.215 0.091 1
Cu6 0.250 0.785 0.909 1
# - Energy relative to the elements: -0.18 eV/atom
# - N(E_F): 8.71 states/eV per cell
# - Raw total energy: -4.118 eV/atom

=====

# PBE InBrF, optimized geometry
data_InBrF
_chemical_formula_sum 'In2 Br2 F2'
_cell_length_a 3.760
_cell_length_b 6.514
_cell_length_c 7.521
_cell_angle_alpha 101.48
_cell_angle_beta 104.21
_cell_angle_gamma 106.87
_space_group_name_H-M_alt 'P 1'
_space_group_IT_number 1
loop_
_space_group_symop_operation_xyz
'x,y,z'
loop_
_atom_site_label
_atom_site_fract_x
_atom_site_fract_y
_atom_site_fract_z
_atom_site_occupancy
F1 0.762 0.466 0.669 1
F2 0.398 0.456 0.957 1
Br1 0.623 0.944 0.917 1
Br2 0.232 0.752 0.335 1
In1 0.064 0.285 0.452 1
In2 0.996 0.644 0.965 1
# - N(E_F): 0.00 states/eV per cell
# - Raw total energy: -3.573 eV/atom

=====

# PBE TlOs2Br, optimized geometry
data_TlOs2Br
_chemical_formula_sum 'Tl1 Os2 Br1'
_cell_length_a 6.825
_cell_length_b 6.825
_cell_length_c 6.825
_cell_angle_alpha 155.34
_cell_angle_beta 141.75
_cell_angle_gamma 46.04
_space_group_name_H-M_alt 'P 1'
_space_group_IT_number 1
loop_
_space_group_symop_operation_xyz
'x,y,z'
loop_
_atom_site_label
_atom_site_fract_x
_atom_site_fract_y
_atom_site_fract_z
_atom_site_occupancy
Tl1 0.534 0.534 0.000 1
Os1 0.943 0.943 0.000 1
Os2 0.778 0.278 0.500 1
Br1 0.244 0.744 0.500 1
# - N(E_F): 3.16 states/eV per cell
# - Raw total energy: -5.456 eV/atom

=====

# PBE Pm4Ni2Hg5, optimized geometry
data_Pm4Ni2Hg5
_chemical_formula_sum 'Pm4 Ni2 Hg5'
_cell_length_a 3.715
_cell_length_b 7.697
_cell_length_c 9.490
_cell_angle_alpha 93.30
_cell_angle_beta 90.00
_cell_angle_gamma 90.00
_space_group_name_H-M_alt 'P 1'
_space_group_IT_number 1
loop_
_space_group_symop_operation_xyz
'x,y,z'
loop_
_atom_site_label
_atom_site_fract_x
_atom_site_fract_y
_atom_site_fract_z
_atom_site_occupancy
Pm1 0.500 0.775 0.566 1
Pm2 0.500 0.178 0.845 1
Pm3 0.500 0.225 0.434 1
Pm4 0.500 0.822 0.155 1
Ni1 0.000 0.067 0.626 1
Ni2 0.000 0.933 0.374 1
Hg1 0.000 0.558 0.331 1
Hg2 0.000 0.165 0.145 1
Hg3 0.000 0.500 0.000 1
Hg4 0.000 0.835 0.855 1
Hg5 0.000 0.442 0.669 1
# - Energy relative to the elements: -0.42 eV/atom
# - N(E_F): 8.97 states/eV per cell
# - Raw total energy: -3.339 eV/atom

=====

# PBE Na4Ac3PuS8, optimized geometry
data_Na4Ac3PuS8
_chemical_formula_sum 'Na4 Ac3 Pu1 S8'
_cell_length_a 8.600
_cell_length_b 8.335
_cell_length_c 8.596
_cell_angle_alpha 121.06
_cell_angle_beta 120.02
_cell_angle_gamma 90.00
_space_group_name_H-M_alt 'P 1'
_space_group_IT_number 1
loop_
_space_group_symop_operation_xyz
'x,y,z'
loop_
_atom_site_label
_atom_site_fract_x
_atom_site_fract_y
_atom_site_fract_z
_atom_site_occupancy
Na1 0.500 0.000 0.000 1
Na2 0.500 0.000 0.500 1
Na3 0.000 0.000 0.000 1
Na4 0.000 0.000 0.500 1
Ac1 0.500 0.500 0.000 1
Ac2 0.500 0.500 0.500 1
Ac3 0.000 0.500 0.500 1
Pu1 0.000 0.500 0.000 1
S1 0.238 0.735 0.997 1
S2 0.238 0.735 0.476 1
S3 0.252 0.256 0.504 1
S4 0.759 0.735 0.997 1
S5 0.241 0.265 0.003 1
S6 0.748 0.744 0.496 1
S7 0.762 0.265 0.524 1
S8 0.762 0.265 0.003 1
# - N(E_F): 12.36 states/eV per cell
# - Raw total energy: -5.782 eV/atom

=====

# PBE Ba2NaMgPt, optimized geometry
data_Ba2NaMgPt
_chemical_formula_sum 'Ba2 Na1 Mg1 Pt1'
_cell_length_a 6.229
_cell_length_b 6.229
_cell_length_c 5.267
_cell_angle_alpha 90.00
_cell_angle_beta 90.00
_cell_angle_gamma 90.00
_space_group_name_H-M_alt 'P 1'
_space_group_IT_number 1
loop_
_space_group_symop_operation_xyz
'x,y,z'
loop_
_atom_site_label
_atom_site_fract_x
_atom_site_fract_y
_atom_site_fract_z
_atom_site_occupancy
Na1 0.500 0.500 0.500 1
Mg1 0.000 0.000 0.500 1
Ba1 0.000 0.500 0.000 1
Ba2 0.500 0.000 0.000 1
Pt1 0.000 0.000 0.000 1
# - Energy relative to the elements: -0.39 eV/atom
# - N(E_F): 3.26 states/eV per cell
# - Raw total energy: -2.947 eV/atom